[1]
Density functional theory data (PBE-GGA) for an optimized crystal structure of LuNiAgPb.

```
data_LuNiAgPb
_chemical_formula_sum 'Lu1 Ni1 Ag1 Pb1'
_cell_length_a 4.8136
_cell_length_b 4.8136
_cell_length_c 4.8136
_cell_angle_alpha 60.00
_cell_angle_beta 60.00
_cell_angle_gamma 60.00
_space_group_name_H-M_alt 'P 1'
_space_group_IT_number 1
loop_
_space_group_symop_operation_xyz
'x,y,z'
loop_
_atom_site_label
_atom_site_type_symbol
_atom_site_fract_x
_atom_site_fract_y
_atom_site_fract_z
Ni1 Ni 0.7500 0.7500 0.7500
Lu1 Lu 0.2500 0.2500 0.2500
Ag1 Ag 0.5000 0.5000 0.5000
Pb1 Pb 0.0000 0.0000 0.0000
```

## Properties
Space-group type: No. 216



[2]
Density functional theory data (PBE-GGA) for an optimized crystal structure of LuSiNiAg.

```
data_LuSiNiAg
_chemical_formula_sum 'Lu1 Si1 Ni1 Ag1'
_cell_length_a 4.5568
_cell_length_b 4.5568
_cell_length_c 4.5568
_cell_angle_alpha 60.00
_cell_angle_beta 60.00
_cell_angle_gamma 60.00
_space_group_name_H-M_alt 'P 1'
_space_group_IT_number 1
loop_
_space_group_symop_operation_xyz
'x,y,z'
loop_
_atom_site_label
_atom_site_type_symbol
_atom_site_fract_x
_atom_site_fract_y
_atom_site_fract_z
Ag1 Ag 0.5000 0.5000 0.5000
Si1 Si 0.0000 0.0000 0.0000
Ni1 Ni 0.7500 0.7500 0.7500
Lu1 Lu 0.2500 0.2500 0.2500
```

## Properties
Space-group type: No. 216



[3]
Density functional theory data (PBE-GGA) for an optimized crystal structure of LuTlNiAg.

```
data_LuTlNiAg
_chemical_formula_sum 'Lu1 Tl1 Ni1 Ag1'
_cell_length_a 4.7968
_cell_length_b 4.7968
_cell_length_c 4.7968
_cell_angle_alpha 60.00
_cell_angle_beta 60.00
_cell_angle_gamma 60.00
_space_group_name_H-M_alt 'P 1'
_space_group_IT_number 1
loop_
_space_group_symop_operation_xyz
'x,y,z'
loop_
_atom_site_label
_atom_site_type_symbol
_atom_site_fract_x
_atom_site_fract_y
_atom_site_fract_z
Ag1 Ag 0.5000 0.5000 0.5000
Tl1 Tl 0.0000 0.0000 0.0000
Ni1 Ni 0.7500 0.7500 0.7500
Lu1 Lu 0.2500 0.2500 0.2500
```

## Properties
Space-group type: No. 216



[4]
Density functional theory data (PBE-GGA) for an optimized crystal structure of Lu2AgO4.

```
data_Lu2AgO4
_chemical_formula_sum 'Lu4 Ag2 O8'
_cell_length_a 6.6166
_cell_length_b 6.6166
_cell_length_c 6.6166
_cell_angle_alpha 119.99
_cell_angle_beta 90.02
_cell_angle_gamma 119.99
_space_group_name_H-M_alt 'P 1'
_space_group_IT_number 1
loop_
_space_group_symop_operation_xyz
'x,y,z'
loop_
_atom_site_label
_atom_site_type_symbol
_atom_site_fract_x
_atom_site_fract_y
_atom_site_fract_z
Ag1 Ag 0.0000 0.0000 0.0000
Lu1 Lu 0.3750 0.7500 0.1250
O1 O 0.1713 0.7809 0.3904
O2 O 0.6096 0.2191 0.8287
Lu2 Lu 0.3750 0.7500 0.6250
O3 O 0.5787 0.7191 0.8596
O4 O 0.6096 0.7809 0.3905
Ag2 Ag 0.7500 0.5000 0.2500
O5 O 0.1404 0.7191 0.8595
O6 O 0.6095 0.2191 0.3904
Lu3 Lu 0.3750 0.2500 0.6250
O7 O 0.1405 0.2809 0.8596
Lu4 Lu 0.8750 0.2500 0.6250
O8 O 0.1404 0.2809 0.4213
```

## Properties
Space-group type: No. 227



[5]
Density functional theory data (PBE-GGA) for an optimized crystal structure of LuAgSO.

```
data_LuAgSO
_chemical_formula_sum 'Lu2 Ag2 S2 O2'
_cell_length_a 4.1310
_cell_length_b 6.6733
_cell_length_c 6.1130
_cell_angle_alpha 90.00
_cell_angle_beta 90.00
_cell_angle_gamma 90.00
_space_group_name_H-M_alt 'P 1'
_space_group_IT_number 1
loop_
_space_group_symop_operation_xyz
'x,y,z'
loop_
_atom_site_label
_atom_site_type_symbol
_atom_site_fract_x
_atom_site_fract_y
_atom_site_fract_z
Lu1 Lu 0.5000 0.8430 0.0271
O1 O 0.5000 0.1094 0.1940
Ag1 Ag 0.0000 0.2876 0.0914
S1 S 0.0000 0.6599 0.1785
S2 S 0.0000 0.3401 0.6785
Ag2 Ag 0.0000 0.7124 0.5914
O2 O 0.5000 0.8906 0.6940
Lu2 Lu 0.5000 0.1570 0.5271
```

## Properties
Space-group type: No. 26



[6]
Density functional theory data (PBE-GGA) for an optimized crystal structure of LuAgSO.

```
data_LuAgSO
_chemical_formula_sum 'Lu4 Ag4 S4 O4'
_cell_length_a 5.5257
_cell_length_b 5.5239
_cell_length_c 10.6331
_cell_angle_alpha 90.00
_cell_angle_beta 91.57
_cell_angle_gamma 90.00
_space_group_name_H-M_alt 'P 1'
_space_group_IT_number 1
loop_
_space_group_symop_operation_xyz
'x,y,z'
loop_
_atom_site_label
_atom_site_type_symbol
_atom_site_fract_x
_atom_site_fract_y
_atom_site_fract_z
S1 S 0.7006 0.5428 0.7186
Lu1 Lu 0.0043 0.8232 0.0967
S2 S 0.2994 0.0428 0.2814
Lu2 Lu 0.5037 0.3230 0.0957
Lu3 Lu 0.4963 0.8230 0.9043
S3 S 0.3027 0.1350 0.7242
O1 O 0.2503 0.5722 0.9998
O2 O 0.7528 0.5713 0.9992
S4 S 0.6973 0.6350 0.2758
O3 O 0.7497 0.0722 0.0002
Ag1 Ag 0.6833 0.5934 0.4973
Ag2 Ag 0.0006 0.8391 0.7043
Ag3 Ag 0.9994 0.3391 0.2957
O4 O 0.2472 0.0713 0.0008
Lu4 Lu 0.9957 0.3232 0.9033
Ag4 Ag 0.3167 0.0934 0.5027
```

## Properties
Space-group type: No. 4



[7]
Density functional theory data (PBE-GGA) for an optimized crystal structure of LuAgSO.

```
data_LuAgSO
_chemical_formula_sum 'Lu4 Ag4 S4 O4'
_cell_length_a 6.3973
_cell_length_b 7.1135
_cell_length_c 6.1868
_cell_angle_alpha 90.00
_cell_angle_beta 101.17
_cell_angle_gamma 90.00
_space_group_name_H-M_alt 'P 1'
_space_group_IT_number 1
loop_
_space_group_symop_operation_xyz
'x,y,z'
loop_
_atom_site_label
_atom_site_type_symbol
_atom_site_fract_x
_atom_site_fract_y
_atom_site_fract_z
Ag1 Ag 0.9522 0.2056 0.5062
Lu1 Lu 0.5482 0.8736 0.7297
O1 O 0.5981 0.3450 0.1073
S1 S 0.7909 0.5717 0.6511
Lu2 Lu 0.5482 0.6264 0.2297
O2 O 0.4019 0.6550 0.8927
O3 O 0.5981 0.1550 0.6073
O4 O 0.4019 0.8450 0.3927
Ag2 Ag 0.9522 0.2944 0.0062
S2 S 0.7909 0.9283 0.1511
Ag3 Ag 0.0478 0.7056 0.9938
Ag4 Ag 0.0478 0.7944 0.4938
S3 S 0.2091 0.4283 0.3489
S4 S 0.2091 0.0717 0.8489
Lu3 Lu 0.4518 0.1264 0.2703
Lu4 Lu 0.4518 0.3736 0.7703
```

## Properties
Space-group type: No. 14



[8]
Density functional theory data (PBE-GGA) for an optimized crystal structure of LuAgSO.

```
data_LuAgSO
_chemical_formula_sum 'Lu4 Ag4 S4 O4'
_cell_length_a 7.5418
_cell_length_b 7.7436
_cell_length_c 5.3875
_cell_angle_alpha 90.00
_cell_angle_beta 90.00
_cell_angle_gamma 90.00
_space_group_name_H-M_alt 'P 1'
_space_group_IT_number 1
loop_
_space_group_symop_operation_xyz
'x,y,z'
loop_
_atom_site_label
_atom_site_type_symbol
_atom_site_fract_x
_atom_site_fract_y
_atom_site_fract_z
Ag1 Ag 0.6404 0.8736 0.5581
Ag2 Ag 0.8596 0.8736 0.0581
Lu1 Lu 0.9457 0.3204 0.0615
O1 O 0.0674 0.0976 0.0686
O2 O 0.4326 0.0976 0.5686
Ag3 Ag 0.1404 0.1264 0.5581
Lu2 Lu 0.0543 0.6796 0.5615
Lu3 Lu 0.5543 0.3204 0.5615
S1 S 0.5936 0.3670 0.0618
S2 S 0.0936 0.6330 0.0618
Ag4 Ag 0.3596 0.1264 0.0581
S3 S 0.9064 0.3670 0.5618
O3 O 0.9326 0.9024 0.5686
S4 S 0.4064 0.6330 0.5618
O4 O 0.5674 0.9024 0.0686
Lu4 Lu 0.4457 0.6796 0.0615
```

## Properties
Space-group type: No. 29



Number 1: total DFT energy (no corrections) -16.9 eV/cell. Number 2: total DFT energy (no corrections) -19.2 eV/cell. Number 3: total DFT energy (no corrections) -15.5 eV/cell. Number 4: total DFT energy (no corrections) -98.1 eV/cell. Number 5: total DFT energy (no corrections) -46.2 eV/cell. Number 6: total DFT energy (no corrections) -97.0 eV/cell. Number 7: total DFT energy (no corrections) -95.0 eV/cell. Number 8: total DFT energy (no corrections) -89.2 eV/cell.